## Li2ZnSnF6 (PBE)

Data for a geometry-optimized Li2ZnSnF6 structure.

As for the uncorrected formation energy: -2.512 eV/atom. The density of states at the Fermi level is 0.000 states/eV per cell. For the magnetization, the calculation gives 0.00 μB per formula unit.

abc: 5.743 5.743 5.743
angles: 56.44 56.44 56.44
Atoms (fractional coordinates):
Li  0.000  0.000  0.000
Li  0.497  0.497  0.497
Zn  0.704  0.704  0.704
Sn  0.220  0.220  0.220
F  0.104  0.417  0.780
F  0.291  0.844  0.678
F  0.417  0.780  0.104
F  0.678  0.291  0.844
F  0.780  0.104  0.417
F  0.844  0.678  0.291